[1]
# PBE BaFe2S, relaxed
# E_tot, eV for the cell shown: -46.80
# Energy relative to the elements, uncorrected, meV per atom: -106
# DOS at the Fermi energy, states/eV/atom: 1.150
# Space group: I4_1/amd, No. 141
data_BaFe2S
_cell_length_a 4.804
_cell_length_b 4.804
_cell_length_c 8.235
_cell_angle_alpha 73.04
_cell_angle_beta 73.04
_cell_angle_gamma 90.00
_space_group_name_H-M_alt 'P 1'
_space_group_IT_number 1
loop_
_space_group_symop_operation_xyz
'x,y,z'
loop_
_atom_site_label
_atom_site_fract_x
_atom_site_fract_y
_atom_site_fract_z
_atom_site_occupancy
S1 0.250 0.750 0.500 1
S2 0.500 0.500 0.000 1
Fe1 0.375 0.125 0.250 1
Fe2 0.875 0.625 0.750 1
Fe3 0.375 0.625 0.250 1
Fe4 0.375 0.625 0.750 1
Ba1 0.000 0.000 0.000 1
Ba2 0.750 0.250 0.500 1

---

[2]
# PBE BaFeS2, relaxed
# E_tot, eV for the cell shown: -20.42
# Energy relative to the elements, uncorrected, meV per atom: -446
# DOS at the Fermi energy, states/eV/atom: 2.845
# Space group: Fm-3m, No. 225
data_BaFeS2
_cell_length_a 5.018
_cell_length_b 5.018
_cell_length_c 5.018
_cell_angle_alpha 60.00
_cell_angle_beta 60.00
_cell_angle_gamma 60.00
_space_group_name_H-M_alt 'P 1'
_space_group_IT_number 1
loop_
_space_group_symop_operation_xyz
'x,y,z'
loop_
_atom_site_label
_atom_site_fract_x
_atom_site_fract_y
_atom_site_fract_z
_atom_site_occupancy
S1 0.750 0.750 0.750 1
S2 0.250 0.250 0.250 1
Fe1 0.000 0.000 0.000 1
Ba1 0.500 0.500 0.500 1

---

[3]
# PBE BaTl2FeS, relaxed
# E_tot, eV for the cell shown: -19.17
# Energy relative to the elements, uncorrected, meV per atom: 15
# DOS at the Fermi energy, states/eV/atom: 1.233
# Space group: P4/mmm, No. 123
data_BaTl2FeS
_cell_length_a 6.040
_cell_length_b 6.040
_cell_length_c 4.251
_cell_angle_alpha 90.00
_cell_angle_beta 90.00
_cell_angle_gamma 90.00
_space_group_name_H-M_alt 'P 1'
_space_group_IT_number 1
loop_
_space_group_symop_operation_xyz
'x,y,z'
loop_
_atom_site_label
_atom_site_fract_x
_atom_site_fract_y
_atom_site_fract_z
_atom_site_occupancy
Tl1 0.500 0.000 0.000 1
Tl2 0.000 0.500 0.000 1
Fe1 0.000 0.000 0.500 1
Ba1 0.500 0.500 0.500 1
S1 0.000 0.000 0.000 1

---

[4]
# PBE Ba3UFeS6, relaxed
# E_tot, eV for the cell shown: -135.69
# Energy relative to the elements, uncorrected, meV per atom: -1597
# DOS at the Fermi energy, states/eV/atom: 0.681
# Space group: R-3c, No. 167
data_Ba3UFeS6
_cell_length_a 8.305
_cell_length_b 8.305
_cell_length_c 8.305
_cell_angle_alpha 94.13
_cell_angle_beta 94.13
_cell_angle_gamma 94.13
_space_group_name_H-M_alt 'P 1'
_space_group_IT_number 1
loop_
_space_group_symop_operation_xyz
'x,y,z'
loop_
_atom_site_label
_atom_site_fract_x
_atom_site_fract_y
_atom_site_fract_z
_atom_site_occupancy
S1 0.708 0.909 0.035 1
S2 0.292 0.091 0.965 1
S3 0.535 0.409 0.208 1
S4 0.035 0.708 0.909 1
S5 0.591 0.792 0.465 1
S6 0.792 0.465 0.591 1
S7 0.409 0.208 0.535 1
S8 0.208 0.535 0.409 1
S9 0.909 0.035 0.708 1
S10 0.091 0.965 0.292 1
S11 0.465 0.591 0.792 1
S12 0.965 0.292 0.091 1
U1 0.750 0.750 0.750 1
U2 0.250 0.250 0.250 1
Fe1 0.000 0.000 0.000 1
Fe2 0.500 0.500 0.500 1
Ba1 0.629 0.250 0.871 1
Ba2 0.371 0.750 0.129 1
Ba3 0.750 0.129 0.371 1
Ba4 0.129 0.371 0.750 1
Ba5 0.871 0.629 0.250 1
Ba6 0.250 0.871 0.629 1

---

[5]
# PBE BaY2FeS, relaxed
# E_tot, eV for the cell shown: -27.61
# Energy relative to the elements, uncorrected, meV per atom: -34
# DOS at the Fermi energy, states/eV/atom: 1.051
# Space group: P4/mmm, No. 123
data_BaY2FeS
_cell_length_a 4.947
_cell_length_b 6.203
_cell_length_c 4.947
_cell_angle_alpha 90.00
_cell_angle_beta 90.00
_cell_angle_gamma 90.00
_space_group_name_H-M_alt 'P 1'
_space_group_IT_number 1
loop_
_space_group_symop_operation_xyz
'x,y,z'
loop_
_atom_site_label
_atom_site_fract_x
_atom_site_fract_y
_atom_site_fract_z
_atom_site_occupancy
Y1 0.500 0.000 0.000 1
Y2 0.000 0.000 0.500 1
S1 0.500 0.500 0.500 1
Ba1 0.000 0.500 0.000 1
Fe1 0.000 0.000 0.000 1

---

[6]
# PBE Ba2FeSb, relaxed
# E_tot, eV for the cell shown: -16.43
# Energy relative to the elements, uncorrected, meV per atom: -1
# DOS at the Fermi energy, states/eV/atom: 1.691
# Space group: P4/mmm, No. 123
data_Ba2FeSb
_cell_length_a 5.594
_cell_length_b 5.593
_cell_length_c 4.525
_cell_angle_alpha 90.00
_cell_angle_beta 90.00
_cell_angle_gamma 90.00
_space_group_name_H-M_alt 'P 1'
_space_group_IT_number 1
loop_
_space_group_symop_operation_xyz
'x,y,z'
loop_
_atom_site_label
_atom_site_fract_x
_atom_site_fract_y
_atom_site_fract_z
_atom_site_occupancy
Ba1 0.000 0.000 0.000 1
Ba2 0.500 0.500 0.000 1
Sb1 0.000 0.500 0.500 1
Fe1 0.500 0.000 0.500 1